ZnTe after structural relaxation, computed with PBE-GGA.

Calculated values
**Raw total energy**: -2.25 eV per atom

Structure (CIF):
```
data_ZnTe
_chemical_formula_sum 'Zn6 Te6'
_cell_length_a 6.612
_cell_length_b 5.453
_cell_length_c 8.281
_cell_angle_alpha 90.00
_cell_angle_beta 96.67
_cell_angle_gamma 90.00
_symmetry_space_group_name_H-M 'P 1 21/m 1'
_symmetry_Int_Tables_number 11
loop_
_symmetry_equiv_pos_as_xyz
'x,y,z'
'-x,-y,-z'
'-x,y+1/2,-z'
'x,-y+1/2,z'
loop_
_atom_site_label
_atom_site_type_symbol
_atom_site_fract_x
_atom_site_fract_y
_atom_site_fract_z
Zn1 Zn 0.059 0.250 0.039
Zn2 Zn 0.210 0.750 0.207
Zn3 Zn 0.350 0.750 0.906
Te1 Te 0.085 0.750 0.510
Te2 Te 0.322 0.250 0.304
Te3 Te 0.364 0.250 0.818
```